No. 1
A relaxed structure of K2RbAg2. Source: the Alexandria database, functional PBE.

Space-group type: No. 139
Energy (Ry/atom): -0.1249
D(E_F) (states/eV per cell): 3.064
E above lowest polymorph (eV per atom): 0.0242

Lattice parameters (Å, degrees): 8.289 8.289 8.289 141.72 141.72 55.25
Positions (direct):
K 0.250 0.750 0.500
K 0.750 0.250 0.500
Rb 0.000 0.000 0.000
Ag 0.405 0.405 0.000
Ag 0.595 0.595 0.000

No. 2
A relaxed structure of KRbAg2. Source: the Alexandria database, functional PBE.

Space-group type: No. 11
Energy (Ry/atom): -0.1411
D(E_F) (states/eV per cell): 3.421
E above lowest polymorph (eV per atom): 0.0000

Lattice parameters (Å, degrees): 4.931 8.463 8.915 90.00 105.89 90.00
Positions (direct):
K 0.131 0.250 0.261
K 0.869 0.750 0.739
Rb 0.384 0.250 0.769
Rb 0.616 0.750 0.231
Ag 0.250 0.583 0.500
Ag 0.250 0.917 0.500
Ag 0.750 0.083 0.500
Ag 0.750 0.417 0.500

No. 3
A relaxed structure of K12Rb5Ag2. Source: the Alexandria database, functional PBE.

Space-group type: No. 12
Energy (Ry/atom): -0.0890
D(E_F) (states/eV per cell): 12.711

Lattice parameters (Å, degrees): 13.618 13.618 11.625 97.23 97.23 38.15
Positions (direct):
K 0.033 0.033 0.279
K 0.092 0.586 0.485
K 0.139 0.643 0.132
K 0.357 0.861 0.868
K 0.414 0.908 0.515
K 0.448 0.448 0.845
K 0.552 0.552 0.155
K 0.586 0.092 0.485
K 0.643 0.139 0.132
K 0.861 0.357 0.868
K 0.908 0.414 0.515
K 0.967 0.967 0.721
Rb 0.210 0.210 0.187
Rb 0.270 0.270 0.818
Rb 0.500 0.500 0.500
Rb 0.730 0.730 0.182
Rb 0.790 0.790 0.813
Ag 0.159 0.841 0.000
Ag 0.841 0.159 0.000

| no. | E_form (eV per atom) |
| --- | --- |
| 1 | 0.074 |
| 2 | 0.022 |
| 3 | 0.037 |